VASP calculation (PBE) on AsP2SF after structural relaxation.

Cell: 4.7494 4.7494 4.6585 Å, 90.00 90.00 90.00°
Fractional positions:
As: 0.0000 0.0000 0.0000
P: 0.0000 0.5000 0.0000
P: 0.5000 0.0000 0.0000
S: 0.0000 0.0000 0.5000
F: 0.5000 0.5000 0.5000

Properties
Spin magnetization in μB per atom: 0.000
Symmetry: P4/mmm
Uncorrected formation energy in eV/f.u.: 4.21
DOS(E_F) in states/eV/cell: 2.90
Distance to the lowest polymorph of the same formula in eV/atom: 0.0610

VASP calculation (PBE) on Mg8GePt2 after structural relaxation.

Cell: 7.9560 7.9560 7.9560 Å, 147.14 129.30 61.75°
Fractional positions:
Mg: 0.1156 0.3406 0.7750
Mg: 0.1654 0.1654 0.0000
Mg: 0.2953 0.0000 0.2953
Mg: 0.4344 0.6594 0.7750
Mg: 0.5656 0.3406 0.2250
Mg: 0.7047 0.0000 0.7047
Mg: 0.8346 0.8346 0.0000
Mg: 0.8844 0.6594 0.2250
Ge: 0.0000 0.5000 0.5000
Pt: 0.3198 0.8198 0.5000
Pt: 0.6802 0.1802 0.5000

Properties
Spin magnetization in μB per atom: 0.000
Symmetry: Immm
Formation energy in meV/atom: -459
DOS(E_F) in states/eV/cell: 3.96
Distance to the lowest polymorph of the same formula in eV/atom: 0.0154

VASP calculation (PBE) on MgTe2WN after structural relaxation.

Cell: 5.5035 5.5035 3.8294 Å, 90.00 90.00 90.00°
Fractional positions:
Mg: 0.0000 0.0000 0.0000
Te: 0.0000 0.5000 0.5000
Te: 0.5000 0.0000 0.5000
W: 0.5000 0.5000 0.5000
N: 0.5000 0.5000 0.0000

Properties
Spin magnetization in μB per atom: 0.000
Symmetry: P4/mmm
Uncorrected formation energy in eV/f.u.: 0.54
DOS(E_F) in states/eV/cell: 2.33
Distance to the lowest polymorph of the same formula in eV/atom: 0.0000

VASP calculation (PBE) on DyErCuRu after structural relaxation.

Cell: 6.8344 6.8344 6.8344 Å, 90.00 90.00 90.00°
Fractional positions:
Dy: 0.0000 0.0000 0.0000
Dy: 0.0000 0.5000 0.5000
Dy: 0.5000 0.0000 0.5000
Dy: 0.5000 0.5000 0.0000
Er: 0.0000 0.0000 0.5000
Er: 0.0000 0.5000 0.0000
Er: 0.5000 0.0000 0.0000
Er: 0.5000 0.5000 0.5000
Cu: 0.2500 0.2500 0.2500
Cu: 0.2500 0.7500 0.7500
Cu: 0.7500 0.2500 0.7500
Cu: 0.7500 0.7500 0.2500
Ru: 0.2500 0.2500 0.7500
Ru: 0.2500 0.7500 0.2500
Ru: 0.7500 0.2500 0.2500
Ru: 0.7500 0.7500 0.7500

Properties
Spin magnetization in μB per atom: 0.000
Symmetry: F-43m
Formation energy in meV/atom: -356
DOS(E_F) in states/eV/cell: 11.87

VASP calculation (PBE) on Cs2MnBeBr6 after structural relaxation.

Cell: 7.8042 7.8042 7.8042 Å, 123.04 123.04 84.81°
Fractional positions:
Cs: 0.2500 0.7500 0.5000
Cs: 0.7500 0.2500 0.5000
Mn: 0.0000 0.0000 0.0000
Be: 0.5000 0.5000 0.0000
Br: 0.2157 0.2157 0.0000
Br: 0.2764 0.2764 0.5528
Br: 0.2764 0.7236 0.0000
Br: 0.7236 0.2764 0.0000
Br: 0.7236 0.7236 0.4472
Br: 0.7843 0.7843 0.0000

Properties
Spin magnetization in μB per atom: 0.500
Symmetry: I4/mmm
Uncorrected formation energy in eV/f.u.: -11.29
DOS(E_F) in states/eV/cell: 0.00

VASP calculation (PBE) on HoTh3 after structural relaxation.

Cell: 9.6968 9.6968 9.6968 Å, 43.17 43.17 43.17°
Fractional positions:
Ho: 0.0000 0.0000 0.0000
Ho: 0.2230 0.2230 0.2230
Ho: 0.7770 0.7770 0.7770
Th: 0.0000 0.5000 0.5000
Th: 0.2182 0.7243 0.7243
Th: 0.2757 0.2757 0.7818
Th: 0.2757 0.7818 0.2757
Th: 0.5000 0.0000 0.5000
Th: 0.5000 0.5000 0.0000
Th: 0.7243 0.2182 0.7243
Th: 0.7243 0.7243 0.2182
Th: 0.7818 0.2757 0.2757

Properties
Spin magnetization in μB per atom: 0.000
Symmetry: R-3m
Formation energy in meV/atom: 69
DOS(E_F) in states/eV/cell: 20.78
Distance to the lowest polymorph of the same formula in eV/atom: 0.0284

VASP calculation (PBE) on Al2SiBr after structural relaxation.

Cell: 6.7411 6.7411 6.7411 Å, 90.00 90.00 90.00°
Fractional positions:
Al: 0.2500 0.2500 0.2500
Al: 0.2500 0.2500 0.7500
Al: 0.2500 0.7500 0.2500
Al: 0.2500 0.7500 0.7500
Al: 0.7500 0.2500 0.2500
Al: 0.7500 0.2500 0.7500
Al: 0.7500 0.7500 0.2500
Al: 0.7500 0.7500 0.7500
Si: 0.0000 0.0000 0.0000
Si: 0.0000 0.5000 0.5000
Si: 0.5000 0.0000 0.5000
Si: 0.5000 0.5000 0.0000
Br: 0.0000 0.0000 0.5000
Br: 0.0000 0.5000 0.0000
Br: 0.5000 0.0000 0.0000
Br: 0.5000 0.5000 0.5000

Properties
Spin magnetization in μB per atom: 0.000
Symmetry: Fm-3m
Uncorrected formation energy in eV/f.u.: 1.45
DOS(E_F) in states/eV/cell: 8.51
Distance to the lowest polymorph of the same formula in eV/atom: 0.4001

VASP calculation (PBE) on LiPaIr2 after structural relaxation.

Cell: 4.2059 4.2059 3.8068 Å, 90.00 90.00 90.00°
Fractional positions:
Li: 0.0000 0.0000 0.0000
Pa: 0.5000 0.5000 0.0000
Ir: 0.0000 0.5000 0.5000
Ir: 0.5000 0.0000 0.5000

Properties
Spin magnetization in μB per atom: 0.000
Symmetry: P4/mmm
Formation energy in meV/atom: -701
DOS(E_F) in states/eV/cell: 1.36
Distance to the lowest polymorph of the same formula in eV/atom: 0.0000

VASP calculation (PBE) on PrMg4Hg8 after structural relaxation.

Cell: 7.6072 7.6072 7.6072 Å, 99.60 99.60 131.81°
Fractional positions:
Pr: 0.0000 0.0000 0.0000
Mg: 0.0000 0.0000 0.5000
Mg: 0.0000 0.5000 0.0000
Mg: 0.5000 0.0000 0.0000
Mg: 0.5000 0.5000 0.5000
Hg: 0.0000 0.3376 0.3376
Hg: 0.0000 0.6624 0.6624
Hg: 0.2828 0.5000 0.7828
Hg: 0.3376 0.0000 0.3376
Hg: 0.5000 0.2828 0.7828
Hg: 0.5000 0.7172 0.2172
Hg: 0.6624 0.0000 0.6624
Hg: 0.7172 0.5000 0.2172

Properties
Spin magnetization in μB per atom: 0.000
Symmetry: I4/mmm
Formation energy in meV/atom: -236
DOS(E_F) in states/eV/cell: 3.88

VASP calculation (PBE) on Ce3GaTc after structural relaxation.

Cell: 5.2792 6.3228 7.1281 Å, 90.00 95.75 90.00°
Fractional positions:
Ce: 0.1583 0.2500 0.1078
Ce: 0.3298 0.0225 0.6406
Ce: 0.3298 0.4775 0.6406
Ce: 0.6702 0.5225 0.3594
Ce: 0.6702 0.9775 0.3594
Ce: 0.8417 0.7500 0.8922
Ga: 0.1624 0.7500 0.2790
Ga: 0.8376 0.2500 0.7210
Tc: 0.4179 0.7500 0.9708
Tc: 0.5821 0.2500 0.0292

Properties
Spin magnetization in μB per atom: 0.000
Symmetry: P2_1/m
Formation energy in meV/atom: -273
DOS(E_F) in states/eV/cell: 18.58
Distance to the lowest polymorph of the same formula in eV/atom: 0.0085

VASP calculation (PBE) on CdFePb2 after structural relaxation.

Cell: 3.1247 4.6887 13.7767 Å, 90.00 90.00 90.00°
Fractional positions:
Cd: 0.0000 0.0000 0.0000
Cd: 0.5000 0.5000 0.5000
Fe: 0.0000 0.0000 0.5000
Fe: 0.5000 0.5000 0.0000
Pb: 0.0000 0.5000 0.1722
Pb: 0.0000 0.5000 0.8278
Pb: 0.5000 0.0000 0.3278
Pb: 0.5000 0.0000 0.6722

Properties
Spin magnetization in μB per atom: 0.545
Symmetry: Immm
Formation energy in meV/atom: 327
DOS(E_F) in states/eV/cell: 6.30

VASP calculation (PBE) on SrTiSb after structural relaxation.

Cell: 4.3748 4.3748 8.6961 Å, 90.00 90.00 90.00°
Fractional positions:
Sr: 0.2500 0.2500 0.1622
Sr: 0.7500 0.7500 0.8378
Ti: 0.2500 0.7500 0.5000
Ti: 0.7500 0.2500 0.5000
Sb: 0.2500 0.2500 0.7148
Sb: 0.7500 0.7500 0.2852

Properties
Spin magnetization in μB per atom: 0.000
Symmetry: P4/nmm
Uncorrected formation energy in eV/f.u.: -1.79
DOS(E_F) in states/eV/cell: 5.04

VASP calculation (PBE) on LiZrH after structural relaxation.

Cell: 10.7184 10.7184 10.7184 Å, 95.58 95.58 143.65°
Fractional positions:
Li: 0.0017 0.8649 0.3532
Li: 0.0116 0.6485 0.1468
Li: 0.1414 0.0049 0.1343
Li: 0.1485 0.5017 0.6368
Li: 0.3649 0.5116 0.8632
Li: 0.3706 0.0071 0.3657
Li: 0.4929 0.3586 0.3635
Li: 0.4951 0.1294 0.1365
Li: 0.5049 0.8706 0.8635
Li: 0.5071 0.6414 0.6365
Li: 0.6294 0.9929 0.6343
Li: 0.6351 0.4884 0.1368
Li: 0.8515 0.4983 0.3632
Li: 0.8586 0.9951 0.8657
Li: 0.9884 0.3515 0.8532
Li: 0.9983 0.1351 0.6468
Zr: 0.1250 0.2450 0.3883
Zr: 0.1292 0.7437 0.8857
Zr: 0.2367 0.6250 0.3800
Zr: 0.2437 0.8581 0.6145
Zr: 0.2550 0.1433 0.8800
Zr: 0.2564 0.3708 0.1145
Zr: 0.3567 0.7367 0.1117
Zr: 0.3581 0.2436 0.6143
Zr: 0.6419 0.7564 0.3857
Zr: 0.6433 0.2633 0.8883
Zr: 0.7436 0.6292 0.8855
Zr: 0.7450 0.8567 0.1200
Zr: 0.7563 0.1419 0.3855
Zr: 0.7633 0.3750 0.6200
Zr: 0.8708 0.2563 0.1143
Zr: 0.8750 0.7550 0.6117
H: 0.0004 0.1852 0.1862
H: 0.9996 0.8148 0.8138
H: 0.1013 0.6229 0.7102
H: 0.1089 0.3987 0.0216
H: 0.1229 0.9127 0.5216
H: 0.3141 0.5004 0.3151
H: 0.3148 0.0010 0.8151
H: 0.4127 0.3911 0.7898
H: 0.4990 0.8141 0.3138
H: 0.5010 0.1859 0.6862
H: 0.5873 0.6089 0.2102
H: 0.6852 0.9990 0.1849
H: 0.6859 0.4996 0.6849
H: 0.8771 0.0873 0.4784
H: 0.8911 0.6013 0.9784
H: 0.8987 0.3771 0.2898

Properties
Spin magnetization in μB per atom: 0.000
Symmetry: I4_1/a
Uncorrected energy in eV/cell: -226.7
DOS(E_F) in states/eV/cell: 25.95

VASP calculation (PBE) on SrDy2RhO5 after structural relaxation.

Cell: 6.7806 6.7806 6.7806 Å, 146.72 130.31 61.13°
Fractional positions:
Sr: 0.0000 0.0000 0.0000
Dy: 0.2973 0.7973 0.5000
Dy: 0.7027 0.2027 0.5000
Rh: 0.5000 0.5000 0.0000
O: 0.1014 0.3463 0.7551
O: 0.4088 0.6537 0.7551
O: 0.5000 0.0000 0.5000
O: 0.5912 0.3463 0.2449
O: 0.8986 0.6537 0.2449

Properties
Spin magnetization in μB per atom: 0.145
Symmetry: Immm
Uncorrected formation energy in eV/f.u.: -22.38
DOS(E_F) in states/eV/cell: 2.02

VASP calculation (PBE) on Zn2MoBr after structural relaxation.

Cell: 6.7381 6.7381 6.7381 Å, 90.00 90.00 90.00°
Fractional positions:
Zn: 0.2500 0.2500 0.2500
Zn: 0.2500 0.2500 0.7500
Zn: 0.2500 0.7500 0.2500
Zn: 0.2500 0.7500 0.7500
Zn: 0.7500 0.2500 0.2500
Zn: 0.7500 0.2500 0.7500
Zn: 0.7500 0.7500 0.2500
Zn: 0.7500 0.7500 0.7500
Mo: 0.0000 0.0000 0.0000
Mo: 0.0000 0.5000 0.5000
Mo: 0.5000 0.0000 0.5000
Mo: 0.5000 0.5000 0.0000
Br: 0.0000 0.0000 0.5000
Br: 0.0000 0.5000 0.0000
Br: 0.5000 0.0000 0.0000
Br: 0.5000 0.5000 0.5000

Properties
Spin magnetization in μB per atom: 0.744
Symmetry: Fm-3m
Uncorrected formation energy in eV/f.u.: 3.93
DOS(E_F) in states/eV/cell: 11.50
Distance to the lowest polymorph of the same formula in eV/atom: 0.7530

VASP calculation (PBE) on LiLa2BeCd after structural relaxation.

Cell: 5.5557 5.5557 4.5605 Å, 90.00 90.00 90.00°
Fractional positions:
Li: 0.0000 0.0000 0.0000
La: 0.0000 0.5000 0.5000
La: 0.5000 0.0000 0.5000
Be: 0.0000 0.0000 0.5000
Cd: 0.5000 0.5000 0.0000

Properties
Spin magnetization in μB per atom: 0.152
Symmetry: P4/mmm
Formation energy in meV/atom: 202
DOS(E_F) in states/eV/cell: 6.46

VASP calculation (PBE) on CdHI2O after structural relaxation.

Cell: 6.4736 6.4736 2.8697 Å, 90.00 90.00 90.00°
Fractional positions:
Cd: 0.0000 0.0000 0.0000
H: 0.5000 0.5000 0.5000
I: 0.0000 0.5000 0.5000
I: 0.5000 0.0000 0.5000
O: 0.5000 0.5000 0.0000

Properties
Spin magnetization in μB per atom: 0.188
Symmetry: P4/mmm
DOS(E_F) in states/eV/cell: 3.94
Distance to the lowest polymorph of the same formula in eV/atom: 0.0000

VASP calculation (PBE) on La7Al2Ag2 after structural relaxation.

Cell: 7.0175 7.0175 7.4818 Å, 90.00 90.00 107.57°
Fractional positions:
La: 0.0000 0.0000 0.0000
La: 0.0000 0.5000 0.2964
La: 0.0000 0.5000 0.7036
La: 0.5000 0.0000 0.2964
La: 0.5000 0.0000 0.7036
La: 0.5000 0.5000 0.2929
La: 0.5000 0.5000 0.7071
Al: 0.1558 0.1558 0.5000
Al: 0.8442 0.8442 0.5000
Ag: 0.2932 0.7068 0.0000
Ag: 0.7068 0.2932 0.0000

Properties
Spin magnetization in μB per atom: 0.000
Symmetry: Cmmm
Formation energy in meV/atom: -42
DOS(E_F) in states/eV/cell: 11.19

VASP calculation (PBE) on Ag4PtAu2 after structural relaxation.

Cell: 7.1743 5.2357 7.6017 Å, 90.00 116.81 90.00°
Fractional positions:
Ag: 0.1077 0.0013 0.2231
Ag: 0.1077 0.4987 0.2231
Ag: 0.1153 0.7500 0.5741
Ag: 0.2549 0.2500 0.7918
Ag: 0.7451 0.7500 0.2082
Ag: 0.8847 0.2500 0.4259
Ag: 0.8923 0.5013 0.7769
Ag: 0.8923 0.9987 0.7769
Pt: 0.4499 0.2500 0.2019
Pt: 0.5501 0.7500 0.7981
Au: 0.3010 0.7500 0.9996
Au: 0.4874 0.2500 0.5781
Au: 0.5126 0.7500 0.4219
Au: 0.6990 0.2500 0.0004

Properties
Spin magnetization in μB per atom: 0.000
Symmetry: P2_1/m
Formation energy in meV/atom: 94
DOS(E_F) in states/eV/cell: 5.30
Distance to the lowest polymorph of the same formula in eV/atom: 0.0427

VASP calculation (PBE) on Mn2HgHPd after structural relaxation.

Cell: 4.0972 4.0972 3.9499 Å, 90.00 90.00 90.00°
Fractional positions:
Mn: 0.0000 0.5000 0.0000
Mn: 0.5000 0.0000 0.0000
Hg: 0.0000 0.0000 0.5000
H: 0.5000 0.5000 0.0000
Pd: 0.5000 0.5000 0.5000

Properties
Spin magnetization in μB per atom: 1.432
Symmetry: P4/mmm
Uncorrected energy in eV/cell: -26.9
DOS(E_F) in states/eV/cell: 3.59